Record 1
VASP calculation (PBE-GGA) on an optimized crystal structure of LiHfAl.

Lattice parameters (Å, degrees): 3.854 3.854 10.896 90.00 90.00 120.00
Element x y z (fractional)
Li  0.667  0.333  0.750
Li  0.333  0.667  0.250
Al  0.000  0.000  0.750
Al  0.000  0.000  0.250
Hf  0.000  0.000  0.000
Hf  0.000  0.000  0.500

Summary:
D(E_F)   8.0 states/eV/cell
Calculated volume   140.12 Å³ per cell
SG   P6_3/mmc (194)
Magnetization   0.00 μB per atom
Energy above the lowest structure with this stoichiometry   128.8 kJ per mole of atoms

=====

Record 2
VASP calculation (PBE-GGA) on an optimized crystal structure of PmInPt2.

Lattice parameters (Å, degrees): 6.678 7.165 7.290 90.00 90.00 90.00
Element x y z (fractional)
Pt  0.953  0.051  0.200
Pt  0.047  0.949  0.800
Pt  0.047  0.551  0.800
Pt  0.453  0.551  0.300
Pt  0.453  0.949  0.300
Pt  0.953  0.449  0.200
Pt  0.547  0.449  0.700
Pt  0.547  0.051  0.700
In  0.176  0.750  0.112
In  0.324  0.750  0.612
In  0.824  0.250  0.888
In  0.676  0.250  0.388
Pm  0.680  0.750  0.980
Pm  0.320  0.250  0.020
Pm  0.180  0.250  0.520
Pm  0.820  0.750  0.480

Summary:
D(E_F)   8.8 states/eV/cell
Calculated volume   348.84 Å³ per cell
SG   Pnma (62)
Magnetization   0.00 μB per atom
Total energy   -92.0 eV per cell

=====

Record 3
VASP calculation (PBE-GGA) on an optimized crystal structure of TbPrSm2Ho.

Lattice parameters (Å, degrees): 6.590 8.409 6.241 93.93 90.00 90.00
Element x y z (fractional)
Tb  0.567  0.000  0.250
Tb  0.433  0.000  0.750
Sm  0.310  0.310  0.228
Sm  0.690  0.310  0.728
Sm  0.310  0.690  0.272
Sm  0.690  0.690  0.772
Pr  0.000  0.000  0.500
Pr  0.000  0.000  0.000
Ho  0.837  0.500  0.250
Ho  0.163  0.500  0.750

Summary:
D(E_F)   12.4 states/eV/cell
Calculated volume   345.05 Å³ per cell
SG   P2/c (13)
Magnetization   0.00 μB per atom
Total energy   -44.0 eV per cell

=====

Record 4
VASP calculation (PBE-GGA) on an optimized crystal structure of KInOs2.

Lattice parameters (Å, degrees): 2.853 2.853 10.272 90.00 90.00 115.65
Element x y z (fractional)
Os  0.000  0.000  0.470
Os  0.000  0.000  0.030
K  0.500  0.500  0.750
In  0.500  0.500  0.250

Summary:
D(E_F)   4.1 states/eV/cell
Calculated volume   75.36 Å³ per cell
SG   Cmmm (65)
Magnetization   0.00 μB per atom
Total energy   -21.9 eV per cell

=====

Record 5
VASP calculation (PBE-GGA) on an optimized crystal structure of Fe2PbAu.

Lattice parameters (Å, degrees): 4.080 4.080 9.869 78.07 78.07 90.00
Element x y z (fractional)
Au  0.500  0.500  0.000
Au  0.250  0.750  0.500
Fe  0.558  0.125  0.250
Fe  0.875  0.808  0.750
Fe  0.192  0.625  0.250
Fe  0.375  0.442  0.750
Pb  0.000  0.000  0.000
Pb  0.750  0.250  0.500

Summary:
D(E_F)   12.0 states/eV/cell
Calculated volume   157.15 Å³ per cell
SG   I-42d (122)
Magnetization   1.40 μB per atom
Total energy   -42.8 eV per cell

=====

Record 6
VASP calculation (PBE-GGA) on an optimized crystal structure of SmCd4Au2.

Lattice parameters (Å, degrees): 4.343 8.625 8.625 90.00 90.00 90.00
Element x y z (fractional)
Au  0.000  0.823  0.177
Au  0.500  0.677  0.677
Au  0.500  0.323  0.323
Au  0.000  0.177  0.823
Cd  0.500  0.399  0.847
Cd  0.000  0.347  0.101
Cd  0.500  0.153  0.601
Cd  0.000  0.653  0.899
Cd  0.000  0.899  0.653
Cd  0.500  0.847  0.399
Cd  0.000  0.101  0.347
Cd  0.500  0.601  0.153
Sm  0.500  0.000  0.000
Sm  0.000  0.500  0.500

Summary:
D(E_F)   7.9 states/eV/cell
Calculated volume   323.10 Å³ per cell
SG   P4_2/mnm (136)
Magnetization   0.00 μB per atom
Energy above the lowest structure with this stoichiometry   0.0 kJ per mole of atoms